# 1
First-principles (PBE) data for an optimized crystal structure of Pa6ZnSe12, as listed in the Alexandria database.

Results
- total magnetic moment (μB/cell) = 7.9
- formation energy without anion corrections (kJ/mol of formula units) = -2197
- space-group type = No. 148

Unit cell a=8.208 b=8.208 c=8.208 alpha=100.70 beta=100.70 gamma=100.70
Site moments in Bohr magnetons follow the coordinates.
Fractional positions:
Zn: 0.000 0.000 0.000  0.07
Se: 0.043 0.685 0.939  -0.04
Pa: 0.130 0.627 0.300  1.17
Pa: 0.870 0.373 0.700  1.17
Se: 0.566 0.177 0.424  -0.04
Se: 0.957 0.315 0.061  -0.04
Se: 0.823 0.576 0.434  -0.04
Se: 0.434 0.823 0.576  -0.04
Pa: 0.373 0.700 0.870  1.17
Se: 0.177 0.424 0.566  -0.04
Pa: 0.700 0.870 0.373  1.17
Pa: 0.300 0.130 0.627  1.17
Se: 0.424 0.566 0.177  -0.04
Se: 0.576 0.434 0.823  -0.04
Se: 0.061 0.957 0.315  -0.04
Se: 0.685 0.939 0.043  -0.04
Se: 0.315 0.061 0.957  -0.04
Pa: 0.627 0.300 0.130  1.17
Se: 0.939 0.043 0.685  -0.04

# 2
First-principles (PBE) data for an optimized crystal structure of Pa2ZnSe, as listed in the Alexandria database.

Results
- total magnetic moment (μB/cell) = 0.0
- formation energy without anion corrections (kJ/mol of formula units) = -131
- space-group type = No. 166

Unit cell a=4.217 b=4.217 c=6.784 alpha=71.89 beta=71.89 gamma=60.00
Fractional positions:
Se: 0.500 0.500 0.500
Zn: 0.000 0.000 0.000
Pa: 0.748 0.748 0.755
Pa: 0.252 0.252 0.245

# 3
First-principles (PBE) data for an optimized crystal structure of PaZnSe3, as listed in the Alexandria database.

Results
- total magnetic moment (μB/cell) = 4.1
- formation energy without anion corrections (kJ/mol of formula units) = -456
- space-group type = No. 14

Unit cell a=6.792 b=7.263 c=10.202 alpha=90.00 beta=97.12 gamma=90.00
Site moments in Bohr magnetons follow the coordinates.
Fractional positions:
Se: 0.831 0.059 0.785  -0.03
Pa: 0.441 0.871 0.784  0.98
Se: 0.331 0.441 0.285  -0.03
Se: 0.842 0.337 0.096  -0.03
Pa: 0.941 0.629 0.284  0.98
Pa: 0.559 0.129 0.216  0.98
Zn: 0.632 0.329 0.886  0.01
Se: 0.827 0.314 0.439  -0.03
Se: 0.327 0.186 0.939  -0.03
Zn: 0.868 0.829 0.614  0.01
Se: 0.169 0.941 0.215  -0.03
Se: 0.673 0.814 0.061  -0.03
Pa: 0.059 0.371 0.716  0.98
Se: 0.658 0.837 0.404  -0.03
Se: 0.342 0.163 0.596  -0.03
Se: 0.669 0.559 0.715  -0.03
Zn: 0.368 0.671 0.114  0.01
Zn: 0.132 0.171 0.386  0.01
Se: 0.173 0.686 0.561  -0.03
Se: 0.158 0.663 0.904  -0.03

# 4
First-principles (PBE) data for an optimized crystal structure of ZrPa4Se5, as listed in the Alexandria database.

Results
- total magnetic moment (μB/cell) = 1.9
- formation energy without anion corrections (kJ/mol of formula units) = -1141
- space-group type = No. 12

Unit cell a=3.966 b=7.096 c=8.980 alpha=74.98 beta=77.24 gamma=73.77
Site moments in Bohr magnetons follow the coordinates.
Fractional positions:
Pa: 0.199 0.405 0.196  0.52
Se: 0.805 0.102 0.289  -0.01
Se: 0.000 0.500 0.500  -0.01
Pa: 0.603 0.195 0.598  0.32
Se: 0.195 0.898 0.711  -0.01
Se: 0.408 0.282 0.902  -0.01
Se: 0.592 0.718 0.098  -0.01
Pa: 0.397 0.805 0.402  0.32
Pa: 0.801 0.595 0.804  0.52
Zr: 0.000 0.000 0.000  -0.02

no.,DOS at the Fermi energy (states/eV/atom)
1,1.631
2,2.061
3,1.083
4,1.702